The following is a DFT calculation (PBE) of an optimized crystal structure of Pr7Nd2Dy.

Cell lengths 8.865, 17.127, 5.537 Å; angles 90.00, 90.00, 90.00 degrees
Space group Cmmm (No. 65)
Inequivalent atoms, fractional coordinates:
Pr 0.000 0.000 0.000
Pr 0.000 0.285 0.500
Pr 0.181 0.390 0.000
Nd 0.000 0.204 0.000
Dy 0.000 0.500 0.500

Properties
calculated total energy	-4.15	eV/atom
M_tot	0.0	μB/cell
calculated formation energy	0.61	eV/atom

=====

The following is a DFT calculation (PBE) of an optimized crystal structure of Pr2Nd5Dy3.

Cell lengths 9.534, 22.233, 6.899 Å; angles 90.00, 90.00, 90.00 degrees
Space group Ibam (No. 72)
Inequivalent atoms, fractional coordinates:
Pr 0.100 0.121 0.000
Nd 0.000 0.247 0.250
Nd 0.000 0.500 0.250
Nd 0.092 0.373 0.500
Dy 0.000 0.000 0.250
Dy 0.247 0.119 0.500

Properties
calculated total energy	-4.36	eV/atom
M_tot	0.0	μB/cell
calculated formation energy	0.36	eV/atom

=====

The following is a DFT calculation (PBE) of an optimized crystal structure of PrNd3Dy6.

Cell lengths 11.059, 19.038, 6.360 Å; angles 90.00, 90.00, 90.00 degrees
Space group Cmc2_1 (No. 36)
Inequivalent atoms, fractional coordinates:
Pr 0.000 0.195 0.000
Nd 0.000 0.389 0.058
Nd 0.177 0.113 0.666
Dy 0.000 0.039 0.256
Dy 0.000 0.275 0.482
Dy 0.167 0.455 0.585
Dy 0.241 0.290 0.756

Properties
calculated total energy	-4.52	eV/atom
M_tot	0.0	μB/cell
calculated formation energy	0.15	eV/atom

=====

The following is a DFT calculation (PBE) of an optimized crystal structure of Pr3Nd4Dy.

Cell lengths 11.922, 7.420, 6.410 Å; angles 90.00, 90.00, 90.00 degrees
Space group Pmn2_1 (No. 31)
Inequivalent atoms, fractional coordinates:
Pr 0.000 0.125 0.000
Pr 0.250 0.125 0.332
Nd 0.000 0.376 0.501
Nd 0.000 0.625 0.998
Nd 0.248 0.626 0.332
Dy 0.000 0.875 0.499

Properties
calculated total energy	-4.72	eV/atom
M_tot	0.0	μB/cell
calculated formation energy	0.03	eV/atom

=====

The following is a DFT calculation (PBE) of an optimized crystal structure of PrNd3Dy6.

Cell lengths 9.9643, 9.9643, 11.7206 Å; angles 90.00, 90.00, 120.00 degrees
Space group R3 (No. 146, hexagonal axes)
Inequivalent atoms, fractional coordinates:
Pr 0.0000 0.0000 0.0000
Nd 0.0000 0.0000 0.2508
Nd 0.0000 0.0000 0.4999
Nd 0.0000 0.0000 0.7488
Dy 0.0001 0.3267 0.0005
Dy 0.0002 0.6742 0.5004

Properties
calculated total energy	-4.38	eV/atom
M_tot	0.0	μB/cell
calculated formation energy	0.29	eV/atom

=====

The following is a DFT calculation (PBE) of an optimized crystal structure of Pr3Nd7Dy2.

Cell lengths 5.996, 3.646, 19.356 Å; angles 90.00, 93.09, 90.00 degrees
Space group P2/m (No. 10)
Inequivalent atoms, fractional coordinates:
Pr 0.000 0.000 0.000
Pr 0.281 0.500 0.634
Nd 0.186 0.500 0.146
Nd 0.243 0.000 0.464
Nd 0.312 0.000 0.819
Nd 0.500 0.500 0.000
Dy 0.210 0.000 0.295

Properties
calculated total energy	-4.66	eV/atom
M_tot	0.0	μB/cell
calculated formation energy	0.09	eV/atom

=====

The following is a DFT calculation (PBE) of an optimized crystal structure of Pr4Nd3Dy4.

Cell lengths 3.633, 9.571, 22.309 Å; angles 90.00, 90.00, 90.00 degrees
Space group Immm (No. 71)
Inequivalent atoms, fractional coordinates:
Pr 0.000 0.178 0.146
Nd 0.000 0.000 0.392
Nd 0.000 0.500 0.500
Dy 0.000 0.318 0.000
Dy 0.000 0.500 0.240

Properties
calculated total energy	-4.58	eV/atom
M_tot	0.0	μB/cell
calculated formation energy	0.13	eV/atom

=====

The following is a DFT calculation (PBE) of an optimized crystal structure of PrNd6Dy.

Cell lengths 5.185, 5.185, 10.370 Å; angles 90.00, 90.00, 90.00 degrees
Space group P4/mmm (No. 123)
Inequivalent atoms, fractional coordinates:
Pr 0.000 0.000 0.000
Nd 0.000 0.500 0.253
Nd 0.500 0.500 0.000
Nd 0.500 0.500 0.500
Dy 0.000 0.000 0.500

Properties
calculated total energy	-4.73	eV/atom
M_tot	0.0	μB/cell
calculated formation energy	0.02	eV/atom